YTm2Ag2 | PBE | optimized geometry

## Properties
Fermi-level density of states ... 10.19 states/eV per cell
Symmetry ... No. 11
Energy above the lowest structure with this stoichiometry ... 144.8 meV per atom
Crystal system ... monoclinic

a = 4.8117 Å, b = 5.2101 Å, c = 10.8874 Å
α = 94.83°, β = 90.00°, γ = 90.00°
Positions (direct):
Ag: 0.2500 0.3545 0.9908
Ag: 0.7500 0.6455 0.0092
Ag: 0.2500 0.7738 0.6351
Ag: 0.7500 0.2262 0.3649
Tm: 0.2500 0.2500 0.5053
Tm: 0.7500 0.7500 0.4947
Tm: 0.2500 0.8420 0.8891
Tm: 0.7500 0.1580 0.1109
Y: 0.7500 0.3040 0.7579
Y: 0.2500 0.6960 0.2421

=====

YTm2Ag | PBE | optimized geometry

## Properties
Fermi-level density of states ... 9.00 states/eV per cell
Symmetry ... No. 63
Energy above the lowest structure with this stoichiometry ... 43.5 meV per atom
Crystal system ... orthorhombic

a = 4.7721 Å, b = 6.1534 Å, c = 8.3242 Å
α = 90.00°, β = 90.00°, γ = 112.78°
Positions (direct):
Ag: 0.2248 0.4493 0.2500
Ag: 0.7752 0.5507 0.7500
Tm: 0.6443 0.2883 0.0470
Tm: 0.3557 0.7117 0.5470
Tm: 0.6443 0.2883 0.4530
Tm: 0.3557 0.7117 0.9530
Y: 0.0520 0.1039 0.7500
Y: 0.9480 0.8961 0.2500

=====

YTm2Ag | PBE | optimized geometry

## Properties
Fermi-level density of states ... 5.66 states/eV per cell
Symmetry ... No. 160
Energy above the lowest structure with this stoichiometry ... 124.5 meV per atom
Crystal system ... trigonal

a = 3.5870 Å, b = 3.5870 Å, c = 10.3853 Å
α = 80.06°, β = 80.06°, γ = 60.00°
Positions (direct):
Ag: 0.6663 0.6663 0.0010
Y: 0.5004 0.5004 0.4988
Tm: 0.0737 0.0737 0.7789
Tm: 0.2596 0.2596 0.2212

=====

YTm2Ag | PBE | optimized geometry

## Properties
Fermi-level density of states ... 4.55 states/eV per cell
Symmetry ... No. 123
Energy above the lowest structure with this stoichiometry ... 0.0 meV per atom
Crystal system ... tetragonal

a = 3.5270 Å, b = 3.5270 Å, c = 8.8102 Å
α = 90.00°, β = 90.00°, γ = 90.00°
Positions (direct):
Tm: 0.0000 0.0000 0.7880
Tm: 0.0000 0.0000 0.2120
Y: 0.5000 0.5000 0.5000
Ag: 0.5000 0.5000 0.0000

=====

YTm5Ag6 | PBE | optimized geometry

## Properties
Fermi-level density of states ... 5.24 states/eV per cell
Symmetry ... No. 65
Crystal system ... orthorhombic

a = 5.1158 Å, b = 7.1257 Å, c = 8.0788 Å
α = 90.00°, β = 71.54°, γ = 90.00°
Positions (direct):
Tm: 0.6659 0.5000 0.6682
Tm: 0.0000 0.5000 0.0000
Tm: 0.3328 0.0000 0.3345
Tm: 0.6672 0.0000 0.6655
Tm: 0.3341 0.5000 0.3318
Y: 0.0000 0.0000 0.0000
Ag: 0.5000 0.2539 0.0000
Ag: 0.8316 0.2526 0.3367
Ag: 0.8317 0.7474 0.3367
Ag: 0.1684 0.7474 0.6633
Ag: 0.5000 0.7461 0.0000
Ag: 0.1683 0.2526 0.6633

=====

YTm2Ag | PBE | optimized geometry

## Properties
Fermi-level density of states ... 5.94 states/eV per cell
Symmetry ... No. 166
Energy above the lowest structure with this stoichiometry ... 347.3 meV per atom
Crystal system ... trigonal

a = 3.3943 Å, b = 3.3943 Å, c = 11.6309 Å
α = 81.61°, β = 81.61°, γ = 60.00°
Positions (direct):
Y: 0.0000 0.0000 0.0000
Tm: 0.0976 0.0976 0.7072
Tm: 0.9024 0.9024 0.2928
Ag: 0.5000 0.5000 0.5000

=====

YTmAg6 | PBE | optimized geometry

## Properties
Fermi-level density of states ... 4.83 states/eV per cell
Symmetry ... No. 12
Crystal system ... monoclinic

a = 4.4326 Å, b = 5.1996 Å, c = 8.1653 Å
α = 79.87°, β = 74.25°, γ = 64.77°
Positions (direct):
Ag: 0.2512 0.3758 0.1217
Ag: 0.7509 0.1271 0.3712
Ag: 0.5021 0.2442 0.7515
Ag: 0.2491 0.8729 0.6288
Ag: 0.4979 0.7558 0.2485
Ag: 0.7488 0.6242 0.8783
Tm: 0.0000 0.0000 0.0000
Y: 0.0000 0.5000 0.5000

=====

YTm4Ag2 | PBE | optimized geometry

## Properties
Fermi-level density of states ... 8.44 states/eV per cell
Symmetry ... No. 166
Crystal system ... trigonal

a = 4.9108 Å, b = 4.9108 Å, c = 10.5123 Å
α = 76.49°, β = 76.49°, γ = 60.00°
Positions (direct):
Y: 0.5000 0.5000 0.5000
Ag: 0.3987 0.3987 0.8039
Ag: 0.6013 0.6013 0.1961
Tm: 0.1006 0.1006 0.6981
Tm: 0.7010 0.7010 0.8970
Tm: 0.8994 0.8994 0.3019
Tm: 0.2990 0.2990 0.1030

=====

Energy relative to the elements (meV/atom)
-110 -95 -14 -139 -340 208 -219 154